A geometry-optimized Ac2YThS4 structure, computed with PBE-GGA.

Cell lengths 4.0974, 7.1473, 7.2455 Å; angles 108.90, 90.00, 90.00 degrees
Last column: nearest neighbours and their distance in Å.
Fractional coordinates of all 8 atoms:
1 S 0.0000 0.7493 0.2280  1 Y 2.80, 2 Th 2.86, 3 Ac 3.00-3.06
2 S 0.5000 0.2357 0.2239  2 Y 2.81, 1 Th 2.86, 3 Ac 3.00-3.05
3 Ac 0.5000 0.0000 0.5000  6 S 3.00
4 S 0.0000 0.2507 0.7720  1 Y 2.80, 2 Th 2.86, 3 Ac 3.00-3.06
5 Th 0.5000 0.5000 0.0000  6 S 2.86
6 Y 0.0000 0.0000 0.0000  6 S 2.80-2.81
7 Ac 0.0000 0.5000 0.5000  6 S 3.05-3.06
8 S 0.5000 0.7643 0.7761  2 Y 2.81, 1 Th 2.86, 3 Ac 3.00-3.05

E_form (uncorrected) (kJ/mol of atoms): -187.0
Space-group type: P2/m, No. 10
Crystal system: monoclinic
Magnetization (μB/cell): 0.00
Final energy (eV/f.u.): -54.114

A geometry-optimized K2Pa2CuSe6 structure, computed with PBE-GGA.

Cell lengths 7.4747, 7.4747, 8.1351 Å; angles 96.96, 96.96, 125.21 degrees
Last column: nearest neighbours and their distance in Å.
Fractional coordinates of all 11 atoms:
1 Se 0.2408 0.2408 0.3312  1 Cu 2.41
2 Se 0.7592 0.7592 0.6688  1 Cu 2.41
3 K 0.1502 0.8498 0.0000  6 Se 3.29-3.41
4 Se 0.9472 0.5667 0.2922  2 Pa 2.77-2.83
5 Se 0.0528 0.4333 0.7078  2 Pa 2.77-2.83
6 Pa 0.3379 0.6621 0.5000  6 Se 2.77-2.90
7 Se 0.5667 0.9472 0.2922  2 Pa 2.77-2.83
8 Cu 0.0000 0.0000 0.5000  2 Se 2.41
9 Se 0.4333 0.0528 0.7078  2 Pa 2.77-2.83
10 Pa 0.6621 0.3379 0.5000  6 Se 2.77-2.90
11 K 0.8498 0.1502 0.0000  6 Se 3.29-3.41

E_form (uncorrected) (kJ/mol of atoms): -113.2
Space-group type: C2/m, No. 12
Crystal system: monoclinic
Magnetization (μB/cell): 1.06
Final energy (eV/f.u.): -59.099